# PBE TlWCl2, relaxed
data_TlWCl2
_cell_length_a 3.072
_cell_length_b 3.072
_cell_length_c 10.547
_cell_angle_alpha 90.00
_cell_angle_beta 90.00
_cell_angle_gamma 90.00
_space_group_name_H-M_alt 'P 4/m m m'
_space_group_IT_number 123
_space_group_name_Hall '-P 4 2'
loop_
_atom_site_label
_atom_site_type_symbol
_atom_site_fract_x
_atom_site_fract_y
_atom_site_fract_z
_atom_site_occupancy
Tl1 Tl 0.000 0.000 0.000 1
W1 W 0.000 0.000 0.500 1
Cl1 Cl 0.500 0.500 0.360 1
# calculated volume	24.9	Å³ per atom
# raw formation energy	154	kJ/mol of formula units
# energy above the most stable polymorph in this dataset	407	meV/atom

***

# PBE Sm2Y5Er2, relaxed
data_Sm2Y5Er2
_cell_length_a 14.932
_cell_length_b 11.761
_cell_length_c 6.781
_cell_angle_alpha 90.00
_cell_angle_beta 90.00
_cell_angle_gamma 90.00
_space_group_name_H-M_alt 'I m a 2'
_space_group_IT_number 46
loop_
_space_group_symop_operation_xyz
'x,y,z'
'-x,-y,z'
'-x+1/2,y,z'
'x+1/2,-y,z'
'x+1/2,y+1/2,z+1/2'
'-x+1/2,-y+1/2,z+1/2'
'-x,y+1/2,z+1/2'
'x,-y+1/2,z+1/2'
loop_
_atom_site_label
_atom_site_type_symbol
_atom_site_fract_x
_atom_site_fract_y
_atom_site_fract_z
_atom_site_occupancy
Sm1 Sm 0.000 0.000 0.000 1
Sm2 Sm 0.250 0.011 0.104 1
Y1 Y 0.052 0.744 0.697 1
Y2 Y 0.143 0.236 0.885 1
Y3 Y 0.250 0.748 0.390 1
Er1 Er 0.127 0.504 0.050 1
# calculated volume	33.1	Å³ per atom
# energy above the most stable polymorph in this dataset	143	meV/atom
# formation energy	0.2349	eV/atom

***

# PBE La6TlTe3As2, relaxed
data_La6TlTe3As2
_cell_length_a 19.803
_cell_length_b 4.469
_cell_length_c 9.176
_cell_angle_alpha 90.00
_cell_angle_beta 103.83
_cell_angle_gamma 90.00
_space_group_name_H-M_alt 'C 1 2/m 1'
_space_group_IT_number 12
loop_
_space_group_symop_operation_xyz
'x,y,z'
'-x,-y,-z'
'-x,y,-z'
'x,-y,z'
'x+1/2,y+1/2,z'
'-x+1/2,-y+1/2,-z'
'-x+1/2,y+1/2,-z'
'x+1/2,-y+1/2,z'
loop_
_atom_site_label
_atom_site_type_symbol
_atom_site_fract_x
_atom_site_fract_y
_atom_site_fract_z
_atom_site_occupancy
La1 La 0.007 0.000 0.253 1
La2 La 0.167 0.500 0.102 1
La3 La 0.173 0.500 0.569 1
Tl1 Tl 0.000 0.500 0.000 1
Te1 Te 0.000 0.500 0.500 1
Te2 Te 0.165 0.000 0.831 1
As1 As 0.169 0.000 0.336 1
# calculated volume	32.9	Å³ per atom
# raw formation energy	-1626	kJ/mol of formula units

***

- The lowest calculated volume belongs to which entry?
  TlWCl2